## Cd2FeN (PBE-GGA)

Data for an optimized crystal structure of Cd2FeN.

a = 6.6105 Å, b = 6.6105 Å, c = 6.6105 Å
α = 94.05°, β = 94.05°, γ = 149.18°
Closest atoms and distances in Å follow each position.
Fractional positions:
Cd 0.3750 0.2443 0.3693  2 N 2.53, 2 Fe 2.82
Cd 0.7557 0.1250 0.1307  2 N 2.53, 2 Fe 2.82
Cd 0.8750 0.0057 0.6307  2 N 2.53, 2 Fe 2.82
Cd 0.9943 0.6250 0.8693  2 N 2.53, 2 Fe 2.82
Fe 0.2500 0.7500 0.5000  2 N 1.76
Fe 0.5000 0.5000 0.0000  2 N 1.76
N 0.0000 0.0000 0.0000  2 Fe 1.76
N 0.7500 0.2500 0.5000  2 Fe 1.76

Properties
The total energy is -0.157 hartree per atom. Its formation energy (no corrections) is 0.384 eV/atom. The calculation puts the mass density at 6.86 g/cm3. The symmetry is No. 122.